First-principles (GGA-PBE) data for a relaxed Al2RuW crystal, as listed in Alexandria.

Values from the calculation:
The space group is No. 123. The value obtained for the density of states at the Fermi level is 3.4 states/eV/cell. The density is 9.54 g/cm³. The electronic total energy is -30.1 eV per formula unit. The calculation puts the formation energy at -0.10 eV/atom. The excess energy over the best structure of this formula in the dataset is 209 meV per atom.

a = 3.793 Å, b = 3.943 Å, c = 3.943 Å
α = 90.00°, β = 90.00°, γ = 90.00°
Fractional coordinates of all 4 atoms:
Ru (0.500, 0.500, 0.000)
Al (0.000, 0.000, 0.000)
Al (0.000, 0.500, 0.500)
W (0.500, 0.000, 0.500)

=====

First-principles (GGA-PBE) data for a relaxed Al2RuW crystal, as listed in Alexandria.

Values from the calculation:
The space group is No. 119. The value obtained for the density of states at the Fermi level is 3.3 states/eV/cell. The density is 9.52 g/cm³. The electronic total energy is -30.2 eV per formula unit. The calculation puts the formation energy at -0.13 eV/atom. The excess energy over the best structure of this formula in the dataset is 177 meV per atom.

a = 4.831 Å, b = 4.831 Å, c = 4.831 Å
α = 133.04°, β = 133.04°, γ = 68.59°
Fractional coordinates of all 4 atoms:
Ru (0.500, 0.500, 0.000)
Al (0.000, 0.000, 0.000)
Al (0.250, 0.750, 0.500)
W (0.750, 0.250, 0.500)

=====

First-principles (GGA-PBE) data for a relaxed AlRu4W crystal, as listed in Alexandria.

Values from the calculation:
The space group is No. 216. The value obtained for the density of states at the Fermi level is 6.5 states/eV/cell. The density is 11.23 g/cm³. The electronic total energy is -52.2 eV per formula unit. The calculation puts the formation energy at 0.27 eV/atom.

a = 5.048 Å, b = 5.048 Å, c = 5.048 Å
α = 60.00°, β = 60.00°, γ = 60.00°
Fractional coordinates of all 6 atoms:
Al (0.000, 0.000, 0.000)
Ru (0.877, 0.374, 0.374)
Ru (0.374, 0.374, 0.877)
Ru (0.374, 0.877, 0.374)
Ru (0.374, 0.374, 0.374)
W (0.750, 0.750, 0.750)